(1)
Computed, not measured: Ac12YRu7 after structural relaxation at the PBE-GGA level of DFT.

The structure in POSCAR format:
```
Ac12YRu7
1.0
-8.9975 -2.5867 -0.0335
3.4375 -1.7520 -8.5300
4.4877 -5.5934 6.0184
Ac Y Ru
12 1 7
direct
0.9263 0.3173 0.7795
0.6827 0.2205 0.0737
0.4493 0.1545 0.3743
0.8455 0.6257 0.5507
0.2205 0.0737 0.6827
0.6257 0.5507 0.8455
0.3743 0.4493 0.1545
0.7795 0.9263 0.3173
0.1545 0.3743 0.4493
0.5507 0.8455 0.6257
0.3173 0.7795 0.9263
0.0737 0.6827 0.2205
0.0000 0.0000 0.0000
0.9843 0.6509 0.8765
0.3491 0.1235 0.0157
0.1235 0.0157 0.3491
0.5000 0.5000 0.5000
0.8765 0.9843 0.6509
0.6509 0.8765 0.9843
0.0157 0.3491 0.1235
```

The value obtained for the density of states at the Fermi level is 10.73 states/eV/cell. Its volume is 33.854 A^3/atom. The space-group type is R-3, No. 148. The value obtained for the total energy is -123.69 eV/cell.


(2)
Computed, not measured: AcYRu after structural relaxation at the PBE-GGA level of DFT.

The structure in POSCAR format:
```
AcYRu
1.0
7.0944 0.0000 0.0000
0.0000 6.5105 -1.9605
0.0000 1.6946 7.6616
Ac Y Ru
4 4 4
direct
0.4252 0.2321 0.8909
0.5748 0.7679 0.1091
0.9252 0.2679 0.6091
0.0748 0.7321 0.3909
0.9247 0.2373 0.1101
0.5753 0.7373 0.6101
0.0753 0.7627 0.8899
0.4247 0.2627 0.3899
0.2627 0.4996 0.6633
0.7373 0.5004 0.3367
0.2373 0.9996 0.1633
0.7627 0.0004 0.8367
```

The value obtained for the density of states at the Fermi level is 5.74 states/eV/cell. Its volume is 31.454 A^3/atom. The space-group type is P2_1/c, No. 14. The value obtained for the energy above the most stable polymorph in this dataset is 0 meV/atom. The value obtained for the total energy is -81.62 eV/cell.


(3)
Computed, not measured: Ac3YRu after structural relaxation at the PBE-GGA level of DFT.

The structure in POSCAR format:
```
Ac3YRu
1.0
-5.1649 1.5847 2.0383
-0.4986 -5.0850 2.6900
2.5333 2.2302 4.6852
Y Ru Ac
1 1 3
direct
0.5000 0.5000 0.5000
0.0000 0.0000 0.0000
0.0000 0.5000 0.0000
0.0000 0.0000 0.5000
0.5000 0.0000 0.0000
```

The value obtained for the density of states at the Fermi level is 6.85 states/eV/cell. Its volume is 38.506 A^3/atom. The space-group type is Pm-3m, No. 221. The value obtained for the total energy is -28.06 eV/cell.


(4)
Computed, not measured: AcY3Ru after structural relaxation at the PBE-GGA level of DFT.

The structure in POSCAR format:
```
AcY3Ru
1.0
-4.7543 -1.4106 -2.3454
2.7369 -2.4438 -4.0782
0.0038 -4.7045 2.8216
Y Ru Ac
3 1 1
direct
0.0000 0.5000 0.0000
0.0000 0.0000 0.5000
0.5000 0.0000 0.0000
0.0000 0.0000 0.0000
0.5000 0.5000 0.5000
```

The value obtained for the density of states at the Fermi level is 6.91 states/eV/cell. Its volume is 33.018 A^3/atom. The space-group type is Pm-3m, No. 221. The value obtained for the total energy is -33.37 eV/cell.


(5)
Computed, not measured: AcYRu2 after structural relaxation at the PBE-GGA level of DFT.

The structure in POSCAR format:
```
AcYRu2
1.0
-1.2821 2.3266 4.2411
1.6558 -1.7216 4.3975
3.4277 2.5869 2.5696
Y Ru Ac
1 2 1
direct
0.5000 0.5000 0.5000
0.2500 0.2500 0.2500
0.7500 0.7500 0.7500
0.0000 0.0000 0.0000
```

The value obtained for the density of states at the Fermi level is 3.64 states/eV/cell. Its volume is 22.155 A^3/atom. The space-group type is Fm-3m, No. 225. The value obtained for the energy above the most stable polymorph in this dataset is 0 meV/atom. The value obtained for the total energy is -29.40 eV/cell.


(6)
Computed, not measured: AcYRu after structural relaxation at the PBE-GGA level of DFT.

The structure in POSCAR format:
```
AcYRu
1.0
6.3004 0.0000 0.0000
0.0000 4.2039 0.0000
0.0000 -2.1019 3.6406
Y Ru Ac
1 1 1
direct
0.7728 0.6667 0.3333
0.9874 0.0000 0.0000
0.2399 0.3333 0.6667
```

The value obtained for the density of states at the Fermi level is 1.10 states/eV/cell. Its volume is 32.142 A^3/atom. The space-group type is P3m1, No. 156. The value obtained for the energy above the most stable polymorph in this dataset is 66 meV/atom. The value obtained for the total energy is -20.21 eV/cell.


(7)
Computed, not measured: AcYZnRu after structural relaxation at the PBE-GGA level of DFT.

The structure in POSCAR format:
```
AcYZnRu
1.0
5.1504 0.0000 0.0000
2.5752 4.4604 0.0000
2.5752 1.4868 4.2053
Y Ru Ac Zn
1 1 1 1
direct
0.7500 0.7500 0.7500
0.5000 0.5000 0.5000
0.2500 0.2500 0.2500
0.0000 0.0000 0.0000
```

The value obtained for the density of states at the Fermi level is 3.85 states/eV/cell. Its volume is 24.152 A^3/atom. The space-group type is F-43m, No. 216. The value obtained for the total energy is -21.77 eV/cell.


(8)
Computed, not measured: AcZn2Ru after structural relaxation at the PBE-GGA level of DFT.

The structure in POSCAR format:
```
AcZn2Ru
1.0
4.1819 0.0000 0.0000
0.0000 4.2254 0.0000
-2.0909 0.0000 9.9123
Ac Zn Ru
2 4 2
direct
0.3797 0.2500 0.7595
0.6203 0.7500 0.2405
0.7501 0.2500 0.5002
0.2499 0.7500 0.4998
0.0378 0.2500 0.0757
0.9622 0.7500 0.9243
0.1674 0.2500 0.3348
0.8326 0.7500 0.6652
```

The value obtained for the density of states at the Fermi level is 4.12 states/eV/cell. Its volume is 21.894 A^3/atom. The space-group type is Cmcm, No. 63. The value obtained for the energy above the most stable polymorph in this dataset is 24 meV/atom. The value obtained for the total energy is -33.51 eV/cell.


(9)
Computed, not measured: AcZn11Ru after structural relaxation at the PBE-GGA level of DFT.

The structure in POSCAR format:
```
AcZn11Ru
1.0
4.7339 0.0180 1.9722
2.3408 6.4898 0.9752
-0.1673 0.0090 7.0690
Ac Zn Ru
1 11 1
direct
0.0000 0.0000 0.0000
0.2708 0.2344 0.2351
0.7292 0.7656 0.7649
0.4941 0.7656 0.2351
0.5059 0.2344 0.7649
0.3757 0.6356 0.6501
0.6243 0.3644 0.3499
0.9742 0.3644 0.6501
0.0258 0.6356 0.3499
0.0000 0.5000 0.0000
0.5000 0.0000 0.5000
0.0000 0.0000 0.5000
0.5000 0.5000 0.0000
```

The value obtained for the density of states at the Fermi level is 5.04 states/eV/cell. Its volume is 16.847 A^3/atom. The space-group type is C2/m, No. 12. The value obtained for the total energy is -29.53 eV/cell.


(10)
Computed, not measured: Ac2Zn5Ru after structural relaxation at the PBE-GGA level of DFT.

The structure in POSCAR format:
```
Ac2Zn5Ru
1.0
-3.6450 2.5913 0.2440
-1.3141 -5.0737 -6.8537
-4.1464 -6.3498 5.4956
Ac Zn Ru
4 10 2
direct
0.8088 0.6175 0.7500
0.1912 0.3825 0.2500
0.0000 0.0000 0.0000
0.0000 0.0000 0.5000
0.1874 0.3748 0.8863
0.8126 0.6252 0.1137
0.1874 0.3748 0.6137
0.8126 0.6252 0.3863
0.3484 0.6967 0.9887
0.6516 0.3033 0.0113
0.3484 0.6967 0.5113
0.6516 0.3033 0.4887
0.5894 0.1788 0.7500
0.4106 0.8212 0.2500
0.4336 0.8673 0.7500
0.5664 0.1327 0.2500
```

The value obtained for the density of states at the Fermi level is 11.58 states/eV/cell. Its volume is 21.845 A^3/atom. The space-group type is Cmcm, No. 63. The value obtained for the total energy is -51.15 eV/cell.


(11)
Computed, not measured: Ac4Zn2Ru after structural relaxation at the PBE-GGA level of DFT.

The structure in POSCAR format:
```
Ac4Zn2Ru
1.0
4.0310 0.0000 1.2203
1.6769 7.2320 1.7286
-0.2224 0.3787 8.0027
Ac Zn Ru
4 2 1
direct
0.0893 0.1909 0.6305
0.9107 0.8091 0.3695
0.3362 0.2531 0.0746
0.6638 0.7469 0.9254
0.3947 0.5474 0.6631
0.6053 0.4526 0.3369
0.0000 0.0000 0.0000
```

The value obtained for the density of states at the Fermi level is 6.28 states/eV/cell. Its volume is 33.342 A^3/atom. The space-group type is C2/m, No. 12. The value obtained for the total energy is -29.59 eV/cell.


(12)
Computed, not measured: Ac4ZnRu after structural relaxation at the PBE-GGA level of DFT.

The structure in POSCAR format:
```
Ac4ZnRu
1.0
-4.7659 -5.5246 0.3884
2.9401 0.0368 7.3614
-4.7329 7.7711 -1.6452
Ac Zn Ru
8 2 2
direct
0.2908 0.9544 0.5829
0.0381 0.8036 0.0849
0.2080 0.3715 0.4171
0.4532 0.7187 0.9151
0.7092 0.0456 0.4171
0.7920 0.6285 0.5829
0.9619 0.1964 0.9151
0.5468 0.2813 0.0849
0.3703 0.6203 0.2406
0.6297 0.3797 0.7594
0.8328 0.0828 0.1655
0.1672 0.9172 0.8345
```

The value obtained for the density of states at the Fermi level is 13.27 states/eV/cell. Its volume is 37.302 A^3/atom. The space-group type is C2/c, No. 15. The value obtained for the energy above the most stable polymorph in this dataset is 19 meV/atom. The value obtained for the total energy is -55.36 eV/cell.


(13)
Computed, not measured: Ac2ZnRu after structural relaxation at the PBE-GGA level of DFT.

The structure in POSCAR format:
```
Ac2ZnRu
1.0
-3.1100 -2.8790 -0.2168
0.9113 -4.2157 1.3799
-2.7953 -0.6684 7.4426
Ac Zn Ru
2 1 1
direct
0.8726 0.6853 0.5695
0.7134 0.4853 0.0880
0.4726 0.2272 0.8276
0.1518 0.8642 0.8323
```

The value obtained for the density of states at the Fermi level is 4.64 states/eV/cell. Its volume is 32.007 A^3/atom. The space-group type is Cm, No. 8. The value obtained for the total energy is -19.53 eV/cell.


(14)
Computed, not measured: Ac2ZnRu after structural relaxation at the PBE-GGA level of DFT.

The structure in POSCAR format:
```
Ac2ZnRu
1.0
4.3071 0.0000 0.0000
0.0000 5.9231 -2.3052
0.0000 -0.0548 8.9026
Ac Zn Ru
4 2 2
direct
0.7500 0.2195 0.4457
0.2500 0.7805 0.5543
0.2500 0.7760 0.0857
0.7500 0.2240 0.9143
0.2500 0.3672 0.2179
0.7500 0.6328 0.7821
0.7500 0.6431 0.2783
0.2500 0.3569 0.7217
```

The value obtained for the density of states at the Fermi level is 6.25 states/eV/cell. Its volume is 28.322 A^3/atom. The space-group type is P2_1/m, No. 11. The value obtained for the total energy is -39.33 eV/cell.


(15)
Computed, not measured: AcZn3Ru after structural relaxation at the PBE-GGA level of DFT.

The structure in POSCAR format:
```
AcZn3Ru
1.0
5.3234 0.1104 -0.1243
-0.0349 5.5643 2.9370
-0.2707 -0.0490 6.8418
Ac Zn Ru
2 6 2
direct
0.3415 0.2118 0.3028
0.3480 0.5123 0.7004
0.8448 0.3620 0.5016
0.1533 0.9491 0.8269
0.5362 0.7749 0.1766
0.8448 0.8622 0.5015
0.8445 0.1579 0.0016
0.8451 0.5662 0.0015
0.0639 0.7375 0.2499
0.6256 0.9866 0.7534
```

The value obtained for the density of states at the Fermi level is 5.07 states/eV/cell. Its volume is 20.318 A^3/atom. The space-group type is P-1, No. 2. The value obtained for the energy above the most stable polymorph in this dataset is 0 meV/atom. The value obtained for the total energy is -36.57 eV/cell.


(16)
Computed, not measured: Ac4Zn3Ru after structural relaxation at the PBE-GGA level of DFT.

The structure in POSCAR format:
```
Ac4Zn3Ru
1.0
-0.0401 4.3131 0.1805
-1.3064 -0.2000 4.4889
11.1794 -0.0322 3.2522
Ru Ac Zn
1 4 3
direct
0.5000 0.5000 0.0656
0.5000 0.5000 0.3386
0.0000 0.5000 0.8764
0.0000 0.0000 0.1390
0.5000 0.0000 0.6471
0.0000 0.5000 0.5613
0.0000 0.0000 0.4323
0.5000 0.0000 0.9397
```

The value obtained for the density of states at the Fermi level is 7.94 states/eV/cell. Its volume is 29.400 A^3/atom. The space-group type is Pmm2, No. 25. The value obtained for the total energy is -31.23 eV/cell.


(17)
Computed, not measured: AcZnRu after structural relaxation at the PBE-GGA level of DFT.

The structure in POSCAR format:
```
AcZnRu
1.0
4.4894 -0.1276 0.3254
0.1621 5.5165 -0.0908
1.8666 1.4271 5.9527
Ac Zn Ru
2 2 2
direct
0.3823 0.6843 0.7350
0.6177 0.3157 0.2650
0.0982 0.7743 0.3034
0.9018 0.2257 0.6966
0.7066 0.8860 0.0864
0.2934 0.1140 0.9136
```

The value obtained for the density of states at the Fermi level is 4.37 states/eV/cell. Its volume is 24.146 A^3/atom. The space-group type is C2/m, No. 12. The value obtained for the energy above the most stable polymorph in this dataset is 0 meV/atom. The value obtained for the total energy is -30.42 eV/cell.


(18)
Computed, not measured: Ac2ZnRu2 after structural relaxation at the PBE-GGA level of DFT.

The structure in POSCAR format:
```
Ac2ZnRu2
1.0
5.7806 0.0000 0.0000
-2.8903 5.2292 0.0617
0.0000 -2.3045 7.8699
Ac Zn Ru
4 2 4
direct
0.4987 0.2917 0.1441
0.2070 0.7083 0.3559
0.5013 0.7083 0.8559
0.7930 0.2917 0.6441
0.8900 0.0000 0.2500
0.1100 0.0000 0.7500
0.7081 0.7250 0.4802
0.9831 0.2750 0.0198
0.2919 0.2750 0.5198
0.0169 0.7250 0.9802
```

The value obtained for the density of states at the Fermi level is 9.78 states/eV/cell. Its volume is 23.871 A^3/atom. The space-group type is C2/c, No. 15. The value obtained for the energy above the most stable polymorph in this dataset is 18 meV/atom. The value obtained for the total energy is -57.57 eV/cell.


(19)
Computed, not measured: Ac4ZnRu after structural relaxation at the PBE-GGA level of DFT.

The structure in POSCAR format:
```
Ac4ZnRu
1.0
6.4939 -0.2651 -1.6280
-2.8148 7.6313 -3.0411
-0.2105 -0.4802 8.6680
Ac Zn Ru
8 2 2
direct
0.8124 0.6507 0.7866
0.0826 0.9420 0.2976
0.6876 0.2134 0.3493
0.4174 0.7024 0.0579
0.5826 0.2976 0.9421
0.3124 0.7866 0.6507
0.9174 0.0580 0.7024
0.1876 0.3493 0.2134
0.7500 0.6254 0.3746
0.2500 0.3746 0.6254
0.2500 0.9969 0.0031
0.7500 0.0031 0.9969
```

The value obtained for the density of states at the Fermi level is 14.56 states/eV/cell. Its volume is 34.052 A^3/atom. The space-group type is C2/c, No. 15. The value obtained for the energy above the most stable polymorph in this dataset is 0 meV/atom. The value obtained for the total energy is -55.60 eV/cell.


(20)
Computed, not measured: Ac2Zn12Ru5 after structural relaxation at the PBE-GGA level of DFT.

The structure in POSCAR format:
```
Ac2Zn12Ru5
1.0
6.8860 0.1136 0.7027
0.6461 6.8566 0.7027
0.1228 0.1136 6.9207
Ac Zn Ru
2 12 5
direct
0.6671 0.6671 0.6671
0.3329 0.3329 0.3329
0.2833 0.7167 0.0000
0.7167 0.0000 0.2833
0.0000 0.2833 0.7167
0.7167 0.2833 0.0000
0.2833 0.0000 0.7167
0.0000 0.7167 0.2833
0.3416 0.3416 0.8546
0.3416 0.8546 0.3416
0.8546 0.3416 0.3416
0.6584 0.1454 0.6584
0.6584 0.6584 0.1454
0.1454 0.6584 0.6584
0.0000 0.0000 0.5000
0.0000 0.5000 0.0000
0.5000 0.0000 0.0000
0.9058 0.9058 0.9058
0.0942 0.0942 0.0942
```

The value obtained for the density of states at the Fermi level is 15.51 states/eV/cell. Its volume is 17.114 A^3/atom. The space-group type is R-3m, No. 166. The value obtained for the total energy is -73.30 eV/cell.